# 1
Computed, not measured: a geometry-optimized SbPIr3 structure at the PBE-GGA level of DFT.

Unit cell a=4.8447 b=4.8447 c=4.8447 alpha=90.00 beta=90.00 gamma=90.00
With the nearest neighbours (Å) after each atom.
Space group Pm-3m (No. 221)
Symmetry-distinct sites (fractional):
Sb (0.0000, 0.0000, 0.0000) (multiplicity 1)  6 Ir 2.42
P (0.5000, 0.5000, 0.5000) (multiplicity 1)  12 Ir 3.43
Ir (0.0000, 0.0000, 0.5000) (multiplicity 3)  2 Sb 2.42

## Properties
**Energy above the most stable polymorph in this dataset**: 1.4705 eV/atom
**Fermi-level density of states**: 3.5 states/eV/f.u.
**Formation energy without anion corrections**: 1.97 eV per atom

***

# 2
Computed, not measured: a geometry-optimized Sb2PIr structure at the PBE-GGA level of DFT.

Unit cell a=3.3546 b=4.6815 c=5.0433 alpha=90.00 beta=90.00 gamma=90.00
With the nearest neighbours (Å) after each atom.
Space group Pmmm (No. 47)
Symmetry-distinct sites (fractional):
Sb (0.0000, 0.0000, 0.0000) (multiplicity 1)  4 Ir 2.88, 4 Sb 3.03
Sb (0.5000, 0.0000, 0.5000) (multiplicity 1)  4 P 2.88, 4 Sb 3.03
P (0.0000, 0.5000, 0.5000) (multiplicity 1)  4 Sb 2.88, 4 Ir 3.03
Ir (0.5000, 0.5000, 0.0000) (multiplicity 1)  4 Sb 2.88, 4 P 3.03

## Properties
**Fermi-level density of states**: 2.3 states/eV/f.u.
**Formation energy without anion corrections**: 0.61 eV per atom

***

# 3
Computed, not measured: a geometry-optimized SbPIr3 structure at the PBE-GGA level of DFT.

Unit cell a=4.4939 b=4.4939 c=4.4939 alpha=90.00 beta=90.00 gamma=90.00
With the nearest neighbours (Å) after each atom.
Space group Pm-3m (No. 221)
Symmetry-distinct sites (fractional):
Sb (0.0000, 0.0000, 0.0000) (multiplicity 1)  12 Ir 3.18
P (0.5000, 0.5000, 0.5000) (multiplicity 1)  6 Ir 2.25
Ir (0.0000, 0.5000, 0.5000) (multiplicity 3)  2 P 2.25

## Properties
**Energy above the most stable polymorph in this dataset**: 0.0000 eV/atom
**Fermi-level density of states**: 13.9 states/eV/f.u.
**Formation energy without anion corrections**: 0.50 eV per atom

***

# 4
Computed, not measured: a geometry-optimized Sb2PIr structure at the PBE-GGA level of DFT.

Unit cell a=3.2397 b=4.8285 c=11.2157 alpha=90.00 beta=90.00 gamma=90.00
With the nearest neighbours (Å) after each atom.
Space group Imm2 (No. 44)
Symmetry-distinct sites (fractional):
Sb (0.0000, 0.0000, 0.0000) (multiplicity 2)  2 Ir 2.95, 4 Sb 3.20-3.24, 4 P 3.26
Sb (0.0000, 0.5000, 0.1878) (multiplicity 2)  4 Ir 2.93, 2 P 3.15, 4 Sb 3.20-3.24
P (0.0000, 0.0000, 0.3682) (multiplicity 2)  2 Ir 2.32
Ir (0.0000, 0.5000, 0.7198) (multiplicity 2)  2 P 2.32

## Properties
**Fermi-level density of states**: 2.7 states/eV/f.u.
**Formation energy without anion corrections**: 0.18 eV per atom